First-principles (GGA-PBE) data for a geometry-optimized Nd8Dy2Pb structure, as listed in Alexandria via LeMat-Bulk.

Geometry as POSCAR:
```
Nd8Dy2Pb
1.0
0.4547 -4.8832 -1.1824
8.1213 0.7290 0.1126
-2.6252 0.1264 9.2307
Dy Nd Pb
2 8 1
direct
0.7757 0.3676 0.5515 Dy
0.2243 0.6324 0.4485 Dy
0.6785 0.9071 0.3570 Nd
0.4091 0.5573 0.8182 Nd
0.3215 0.0929 0.6430 Nd
0.9561 0.2707 0.9122 Nd
0.8620 0.8191 0.7240 Nd
0.0439 0.7293 0.0878 Nd
0.5909 0.4427 0.1818 Nd
0.1380 0.1809 0.2760 Nd
0.5000 0.0000 0.0000 Pb
```

DFT formation energy	-0.0809	eV/atom